InAsCl2: relaxed, PBE.

abc: 5.0331 5.0331 5.0331
angles: 60.00 60.00 60.00
Last column: nearest neighbours and their distance in Å.
Fractional positions:
In: 0.7500 0.7500 0.7500  4 Cl 3.08, 4 As 3.08
As: 0.5000 0.5000 0.5000  4 In 3.08, 4 Cl 3.08
Cl: 0.2500 0.2500 0.2500  4 As 3.08, 4 Cl 3.08
Cl: 0.0000 0.0000 0.0000  4 In 3.08, 4 Cl 3.08

Computed properties:
Relative energy among the computed polymorphs in meV/atom: 538
Crystal system: cubic
Total magnetization in Bohr magnetons per cell: 1.77
Final energy in eV/atom: -2.712
Raw formation energy in eV per atom: 0.06